Entry 1:
# KErPdS3, relaxed, DFT GGA-PBE
# Energy   -5.091 eV per atom
data_KErPdS3
_space_group_name_H-M_alt 'P 1 21/m 1'
_space_group_IT_number 11
_cell_length_a 8.428
_cell_length_b 4.026
_cell_length_c 9.470
_cell_angle_alpha 90.00
_cell_angle_beta 107.18
_cell_angle_gamma 90.00
loop_
_space_group_symop_operation_xyz
'x,y,z'
'-x,-y,-z'
'-x,y+1/2,-z'
'x,-y+1/2,z'
loop_
_atom_site_label
_atom_site_type_symbol
_atom_site_fract_x
_atom_site_fract_y
_atom_site_fract_z
K1 K 0.212 0.250 0.239
Er1 Er 0.325 0.750 0.862
Pd1 Pd 0.093 0.250 0.587
S1 S 0.104 0.250 0.854
S2 S 0.215 0.750 0.550
S3 S 0.459 0.750 0.154

---

Entry 2:
# AlSiW4C2, relaxed, DFT GGA-PBE
# Energy   -9.870 eV per atom
data_AlSiW4C2
_space_group_name_H-M_alt 'P -6 m 2'
_space_group_IT_number 187
_space_group_name_Hall 'P -6 2'
_cell_length_a 3.0710
_cell_length_b 3.0710
_cell_length_c 12.9882
_cell_angle_alpha 90.00
_cell_angle_beta 90.00
_cell_angle_gamma 120.00
loop_
_atom_site_label
_atom_site_type_symbol
_atom_site_fract_x
_atom_site_fract_y
_atom_site_fract_z
Al1 Al 0.0000 0.0000 0.0000
Si1 Si 0.3333 0.6667 0.5000
W1 W 0.0000 0.0000 0.3523
W2 W 0.3333 0.6667 0.1680
C1 C 0.6667 0.3333 0.2581

---

Entry 3:
# LiWAu, relaxed, DFT GGA-PBE
# Polymorph energy (0 for the lowest one)   0.000 eV/atom
# Energy   -4.965 eV per atom
data_LiWAu
_space_group_name_H-M_alt 'F -4 3 m'
_space_group_IT_number 216
_space_group_name_Hall 'F -4 2 3'
_cell_length_a 6.021
_cell_length_b 6.021
_cell_length_c 6.021
_cell_angle_alpha 90.00
_cell_angle_beta 90.00
_cell_angle_gamma 90.00
loop_
_atom_site_label
_atom_site_type_symbol
_atom_site_fract_x
_atom_site_fract_y
_atom_site_fract_z
Li1 Li 0.000 0.000 0.000
W1 W 0.250 0.250 0.750
Au1 Au 0.000 0.000 0.500

---

Entry 4:
# Cu2Ag, relaxed, DFT GGA-PBE
# Polymorph energy (0 for the lowest one)   0.046 eV/atom
# Energy   -3.328 eV per atom
# ΔE_f   0.091 eV per atom
data_Cu2Ag
_space_group_name_H-M_alt 'P 1'
_space_group_IT_number 1
_cell_length_a 4.667
_cell_length_b 4.680
_cell_length_c 6.032
_cell_angle_alpha 75.25
_cell_angle_beta 83.10
_cell_angle_gamma 81.02
loop_
_space_group_symop_operation_xyz
'x,y,z'
loop_
_atom_site_label
_atom_site_type_symbol
_atom_site_fract_x
_atom_site_fract_y
_atom_site_fract_z
Cu1 Cu 0.000 0.000 0.000
Cu2 Cu 0.106 0.568 0.799
Cu3 Cu 0.213 0.105 0.578
Cu4 Cu 0.419 0.220 0.116
Cu5 Cu 0.546 0.783 0.904
Cu6 Cu 0.880 0.443 0.204
Ag1 Ag 0.320 0.652 0.336
Ag2 Ag 0.663 0.337 0.691
Ag3 Ag 0.766 0.906 0.443

---

Entry 5:
# Co2Te3Pb, relaxed, DFT GGA-PBE
# Energy   -4.642 eV per atom
data_Co2Te3Pb
_space_group_name_H-M_alt 'C m c m'
_space_group_IT_number 63
_space_group_name_Hall '-C 2c 2'
_cell_length_a 3.750
_cell_length_b 13.898
_cell_length_c 10.699
_cell_angle_alpha 90.00
_cell_angle_beta 90.00
_cell_angle_gamma 90.00
loop_
_atom_site_label
_atom_site_type_symbol
_atom_site_fract_x
_atom_site_fract_y
_atom_site_fract_z
Co1 Co 0.000 0.000 0.000
Co2 Co 0.000 0.377 0.250
Te1 Te 0.000 0.002 0.750
Te2 Te 0.000 0.377 0.016
Pb1 Pb 0.000 0.265 0.750

---

Entry 6:
# TmPbAuS3, relaxed, DFT GGA-PBE
# Polymorph energy (0 for the lowest one)   0.006 eV/atom
# Energy   -5.013 eV per atom
data_TmPbAuS3
_space_group_name_H-M_alt 'C m c m'
_space_group_IT_number 63
_space_group_name_Hall '-C 2c 2'
_cell_length_a 4.068
_cell_length_b 14.381
_cell_length_c 10.300
_cell_angle_alpha 90.00
_cell_angle_beta 90.00
_cell_angle_gamma 90.00
loop_
_atom_site_label
_atom_site_type_symbol
_atom_site_fract_x
_atom_site_fract_y
_atom_site_fract_z
Tm1 Tm 0.000 0.000 0.000
Pb1 Pb 0.000 0.305 0.250
Au1 Au 0.000 0.362 0.750
S1 S 0.000 0.060 0.750
S2 S 0.000 0.374 0.524